An optimized crystal structure of Zn2Tc3. Source: the Alexandria database, functional PBE.

Unit cell a=11.212 b=11.212 c=11.212 alpha=14.11 beta=14.11 gamma=14.11
Sites, in units of the cell vectors:
Zn  0.100  0.100  0.100
Zn  0.900  0.900  0.900
Tc  0.303  0.303  0.303
Tc  0.500  0.500  0.500
Tc  0.697  0.697  0.697

Computed properties:
**Crystal system**: trigonal
**Polymorph energy (0 for the lowest one)**: 0 meV/atom
**Space group**: R-3m

---

An optimized crystal structure of Ti3MnAl3Ni2. Source: the Alexandria database, functional PBE.

Unit cell a=7.138 b=7.138 c=2.900 alpha=90.00 beta=90.00 gamma=120.00
Sites, in units of the cell vectors:
Ti  0.000  0.730  0.000
Ti  0.270  0.270  0.000
Ti  0.730  0.000  0.000
Mn  0.000  0.000  0.500
Al  0.000  0.382  0.500
Al  0.382  0.000  0.500
Al  0.618  0.618  0.500
Ni  0.333  0.667  0.000
Ni  0.667  0.333  0.000

Computed properties:
**Crystal system**: hexagonal
**DFT total energy**: -6.60 eV per atom
**Space group**: P-62m

---

An optimized crystal structure of Ta2MoW. Source: the Alexandria database, functional PBE.

Unit cell a=2.829 b=2.829 c=9.054 alpha=90.00 beta=90.00 gamma=110.04
Sites, in units of the cell vectors:
Ta  0.000  0.000  0.000
Ta  0.500  0.500  0.263
Mo  0.500  0.500  0.752
W  0.000  0.000  0.514

Computed properties:
**Crystal system**: orthorhombic
**DFT total energy**: -11.94 eV per atom
**Space group**: Cmm2

---

| no. | V (Å³/atom) |
| --- | --- |
| 1 | 14.588 |
| 2 | 14.220 |
| 3 | 17.021 |